# 1
Here is an optimized crystal structure of PmSc3Pt2 from Alexandria via LeMat-Bulk. Energies are from PBE.

Cell: 4.548 8.498 6.840 Å, 90.00 90.00 90.00°
Positions (direct):
1 Pm 0.000 0.073 0.000
2 Pm 0.000 0.927 0.500
3 Sc 0.000 0.337 0.632
4 Sc 0.000 0.663 0.132
5 Sc 0.500 0.191 0.345
6 Sc 0.500 0.428 0.972
7 Sc 0.500 0.572 0.472
8 Sc 0.500 0.809 0.845
9 Pt 0.000 0.354 0.239
10 Pt 0.000 0.646 0.739
11 Pt 0.500 0.163 0.734
12 Pt 0.500 0.837 0.234

## Properties
symmetry: Pmc2_1
calculated formation energy: -0.95 eV per atom
total moment: 0.000 μB/f.u.
volume: 264.39 Å³ per cell

---

# 2
Here is an optimized crystal structure of PmScPt2 from Alexandria via LeMat-Bulk. Energies are from PBE.

Cell: 5.394 5.394 5.394 Å, 50.51 50.51 50.51°
Positions (direct):
1 Pm 0.000 0.000 0.000
2 Sc 0.500 0.500 0.500
3 Pt 0.220 0.220 0.220
4 Pt 0.780 0.780 0.780

## Properties
symmetry: R-3m
calculated formation energy: -1.14 eV per atom
excess energy over the best structure of this formula in the dataset: 0.032 eV per atom
total moment: 0.000 μB/f.u.
volume: 86.11 Å³ per cell

---

# 3
Here is an optimized crystal structure of Pm2ScPt2 from Alexandria via LeMat-Bulk. Energies are from PBE.

Cell: 6.643 6.643 11.185 Å, 118.66 118.66 34.82°
Positions (direct):
1 Pm 0.038 0.038 0.190
2 Pm 0.167 0.167 0.587
3 Pm 0.833 0.833 0.413
4 Pm 0.962 0.962 0.810
5 Sc 0.292 0.292 0.132
6 Sc 0.708 0.708 0.868
7 Pt 0.368 0.368 0.940
8 Pt 0.492 0.492 0.626
9 Pt 0.508 0.508 0.374
10 Pt 0.632 0.632 0.060

## Properties
symmetry: C2/m
calculated formation energy: -1.02 eV per atom
excess energy over the best structure of this formula in the dataset: 0.000 eV per atom
total moment: 0.000 μB/f.u.
volume: 243.64 Å³ per cell

---

What did the first record say?
Here is an optimized crystal structure of PmSc3Pt2 from Alexandria via LeMat-Bulk. Energies are from PBE.

Cell: 4.548 8.498 6.840 Å, 90.00 90.00 90.00°
Positions (direct):
1 Pm 0.000 0.073 0.000
2 Pm 0.000 0.927 0.500
3 Sc 0.000 0.337 0.632
4 Sc 0.000 0.663 0.132
5 Sc 0.500 0.191 0.345
6 Sc 0.500 0.428 0.972
7 Sc 0.500 0.572 0.472
8 Sc 0.500 0.809 0.845
9 Pt 0.000 0.354 0.239
10 Pt 0.000 0.646 0.739
11 Pt 0.500 0.163 0.734
12 Pt 0.500 0.837 0.234

## Properties
symmetry: Pmc2_1
calculated formation energy: -0.95 eV per atom
total moment: 0.000 μB/f.u.
volume: 264.39 Å³ per cell